{"formula": "NbSe2NO", "functional": "PBE", "state": "optimized geometry", "lattice": [[-0.331, 1.265, 4.047], [-2.686, -3.204, 0.782], [2.976, -2.264, 0.951]], "species": ["Nb", "Se", "Se", "N", "O"], "fractional_positions": [[0.500, 0.500, 0.500], [0.500, 0.000, 0.000], [0.000, 0.500, 0.000], [0.000, 0.000, 0.500], [0.000, 0.000, 0.000]], "e_form_raw_kcal_per_mol_atoms": 22.536, "vol_a3_per_atom": 13.96, "rho_g_cm3": 6.7, "dos_at_fermi_per_ev_fu": 3.93, "e_above_lowest_polymorph_mev_per_atom": 293, "e_tot_ev_per_atom": -5.09}